No. 1
The following is a PBE-GGA calculation of a relaxed CrCdPd6 crystal, from Alexandria via LeMat-Bulk.

a = 3.955 Å, b = 3.955 Å, c = 7.983 Å
α = 90.00°, β = 90.00°, γ = 90.00°
Fractional positions:
1 Cr 0.000 0.000 0.000
2 Cd 0.000 0.000 0.500
3 Pd 0.000 0.500 0.237
4 Pd 0.000 0.500 0.763
5 Pd 0.500 0.000 0.237
6 Pd 0.500 0.000 0.763
7 Pd 0.500 0.500 0.000
8 Pd 0.500 0.500 0.500

Summary:
calculated density = 10.68 g cm⁻³
volume = 124.87 Å³ per cell
DFT formation energy = -1.322 eV per formula unit
E_tot = -5.38 eV/atom
crystal system = tetragonal


No. 2
The following is a PBE-GGA calculation of a relaxed CrCd2Pd2 crystal, from Alexandria via LeMat-Bulk.

a = 6.893 Å, b = 6.893 Å, c = 3.907 Å
α = 90.00°, β = 90.00°, γ = 90.00°
Fractional positions:
1 Cr 0.000 0.000 0.000
2 Cr 0.500 0.500 0.000
3 Cd 0.164 0.336 0.500
4 Cd 0.336 0.836 0.500
5 Cd 0.664 0.164 0.500
6 Cd 0.836 0.664 0.500
7 Pd 0.139 0.639 0.000
8 Pd 0.361 0.139 0.000
9 Pd 0.639 0.861 0.000
10 Pd 0.861 0.361 0.000

Summary:
calculated density = 8.76 g cm⁻³
volume = 185.62 Å³ per cell
DFT formation energy = -0.186 eV per formula unit
E_tot = -4.41 eV/atom
crystal system = tetragonal


No. 3
The following is a PBE-GGA calculation of a relaxed Cr3CdPd crystal, from Alexandria via LeMat-Bulk.

a = 4.878 Å, b = 4.878 Å, c = 4.878 Å
α = 90.00°, β = 90.00°, γ = 90.00°
Fractional positions:
1 Cr 0.000 0.000 0.500
2 Cr 0.000 0.500 0.000
3 Cr 0.500 0.000 0.000
4 Cd 0.500 0.500 0.500
5 Pd 0.000 0.000 0.000

Summary:
calculated density = 5.36 g cm⁻³
polymorph energy (0 for the lowest one) = 0.000 eV per atom
volume = 116.10 Å³ per cell
DFT formation energy = 5.746 eV per formula unit
E_tot = -5.85 eV/atom
crystal system = cubic


No. 4
The following is a PBE-GGA calculation of a relaxed CrCdPd14 crystal, from Alexandria via LeMat-Bulk.

a = 5.619 Å, b = 5.619 Å, c = 7.865 Å
α = 90.00°, β = 90.00°, γ = 90.00°
Fractional positions:
1 Cr 0.000 0.000 0.000
2 Cd 0.500 0.500 0.000
3 Pd 0.000 0.000 0.500
4 Pd 0.000 0.500 0.000
5 Pd 0.000 0.500 0.500
6 Pd 0.246 0.246 0.249
7 Pd 0.246 0.246 0.751
8 Pd 0.246 0.754 0.249
9 Pd 0.246 0.754 0.751
10 Pd 0.500 0.000 0.000
11 Pd 0.500 0.000 0.500
12 Pd 0.500 0.500 0.500
13 Pd 0.754 0.246 0.249
14 Pd 0.754 0.246 0.751
15 Pd 0.754 0.754 0.249
16 Pd 0.754 0.754 0.751

Summary:
calculated density = 11.06 g cm⁻³
volume = 248.29 Å³ per cell
DFT formation energy = -1.179 eV per formula unit
E_tot = -5.28 eV/atom
crystal system = tetragonal


No. 5
The following is a PBE-GGA calculation of a relaxed CrCd2Pd8 crystal, from Alexandria via LeMat-Bulk.

a = 7.603 Å, b = 7.603 Å, c = 7.603 Å
α = 145.65°, β = 132.10°, γ = 60.26°
Fractional positions:
1 Cr 0.000 0.000 0.000
2 Cd 0.307 0.307 0.000
3 Cd 0.693 0.693 0.000
4 Pd 0.136 0.863 0.274
5 Pd 0.168 0.668 0.500
6 Pd 0.267 0.500 0.767
7 Pd 0.411 0.137 0.274
8 Pd 0.589 0.863 0.726
9 Pd 0.733 0.500 0.233
10 Pd 0.832 0.332 0.500
11 Pd 0.864 0.137 0.726

Summary:
calculated density = 10.28 g cm⁻³
volume = 182.28 Å³ per cell
DFT formation energy = -1.051 eV per formula unit
E_tot = -4.91 eV/atom
crystal system = orthorhombic


No. 6
The following is a PBE-GGA calculation of a relaxed CrCd3Pd12 crystal, from Alexandria via LeMat-Bulk.

a = 3.988 Å, b = 3.988 Å, c = 16.097 Å
α = 90.00°, β = 90.00°, γ = 90.00°
Fractional positions:
1 Cr 0.000 0.000 0.000
2 Cd 0.000 0.000 0.246
3 Cd 0.000 0.000 0.500
4 Cd 0.000 0.000 0.754
5 Pd 0.000 0.500 0.117
6 Pd 0.000 0.500 0.373
7 Pd 0.000 0.500 0.627
8 Pd 0.000 0.500 0.883
9 Pd 0.500 0.000 0.117
10 Pd 0.500 0.000 0.373
11 Pd 0.500 0.000 0.627
12 Pd 0.500 0.000 0.883
13 Pd 0.500 0.500 0.000
14 Pd 0.500 0.500 0.244
15 Pd 0.500 0.500 0.500
16 Pd 0.500 0.500 0.756

Summary:
calculated density = 10.81 g cm⁻³
volume = 256.04 Å³ per cell
DFT formation energy = -3.131 eV per formula unit
E_tot = -4.86 eV/atom
crystal system = tetragonal